Computed, not measured: a crystal of K3H5Pt relaxed with PBEsol at the SCAN level of DFT.

Summary:
As for the total energy: -12.96 eV per atom. The space group is P4/mbm (127).

Geometry as extended XYZ:
```
18
Lattice="-1.261 1.810 5.174 -1.851 -6.705 1.894 6.777 -1.278 2.099" Properties=species:S:1:pos:R:3 pbc="T T T"
K 3.663 -1.200 4.370
K 0.029 -1.451 3.572
K 0.000 0.000 0.000
K 2.463 -3.991 1.997
K 3.637 -4.722 5.595
K 0.002 -4.973 4.797
H 1.833 -3.087 4.584
H 2.279 -6.345 4.025
H 4.278 -2.266 6.700
H 5.023 -3.336 3.641
H 1.534 -5.275 7.084
H -0.613 -3.907 2.467
H 2.131 -0.898 2.083
H 1.386 0.172 5.142
H -1.358 -2.837 5.526
H -0.631 0.905 2.587
Pt -0.926 -3.352 0.947
Pt 3.389 -0.639 1.049
```